LaNi5Hg, relaxed, DFT PBE; symmetry = No. 62; E_tot = -5.07 eV/atom; Fermi-level density of states = 37.222 states/eV/cell; E_form = -191.8 meV/atom
1.0
8.267 0.000 0.000
0.000 4.936 0.000
0.000 0.000 10.471
La Ni Hg
4 20 4
direct
0.246 0.250 0.060 La
0.254 0.750 0.560 La
0.746 0.250 0.440 La
0.754 0.750 0.940 La
0.048 0.750 0.115 Ni
0.067 0.502 0.313 Ni
0.067 0.998 0.313 Ni
0.077 0.250 0.516 Ni
0.187 0.250 0.739 Ni
0.313 0.750 0.239 Ni
0.423 0.750 0.016 Ni
0.433 0.002 0.813 Ni
0.433 0.498 0.813 Ni
0.452 0.250 0.615 Ni
0.548 0.750 0.385 Ni
0.567 0.502 0.187 Ni
0.567 0.998 0.187 Ni
0.577 0.250 0.984 Ni
0.687 0.250 0.761 Ni
0.813 0.750 0.261 Ni
0.923 0.750 0.484 Ni
0.933 0.002 0.687 Ni
0.933 0.498 0.687 Ni
0.952 0.250 0.885 Ni
0.139 0.750 0.865 Hg
0.361 0.250 0.365 Hg
0.639 0.750 0.635 Hg
0.861 0.250 0.135 Hg